A:
5
Lattice="4.5940 0.0000 0.0000 0.0000 4.5940 0.0000 0.0000 0.0000 4.5940" Properties=species:S:1:pos:R:3 comment="TiV3Ir PBE optimized geometry" sg=Pm-3m pbc="T T T"
Ti 0.0000 0.0000 0.0000
V 0.0000 2.2970 2.2970
V 2.2970 0.0000 2.2970
V 2.2970 2.2970 0.0000
Ir 2.2970 2.2970 2.2970

***

B:
5
Lattice="4.2852 0.0000 0.0000 0.0000 4.2852 0.0000 0.0000 0.0000 4.2852" Properties=species:S:1:pos:R:3 comment="TiV3Ir PBE optimized geometry" sg=Pm-3m pbc="T T T"
Ti 0.0000 0.0000 0.0000
V 0.0000 0.0000 2.1426
V 0.0000 2.1426 0.0000
V 2.1426 0.0000 0.0000
Ir 2.1426 2.1426 2.1426

***

Unit: eV/atom. Relative energies: A 0.000; B 0.263.

***

A:
8
Lattice="-3.5059 3.5059 2.5612 3.5059 -3.5059 2.5612 3.5059 3.5059 -2.5612" Properties=species:S:1:pos:R:3 comment="TiV2Ir PBE optimized geometry" sg=I-42d pbc="T T T"
Ti 0.0000 0.0000 0.0000
Ti 0.0000 3.5059 1.2806
V 1.7530 1.9174 -0.6403
V 5.0945 1.7530 0.6403
V 1.7530 1.5885 1.9209
V -1.5885 1.7530 3.2015
Ir 3.5059 0.0000 1.2806
Ir 0.0000 0.0000 2.5612

***

B:
4
Lattice="0.0000 3.0412 3.0412 3.0412 0.0000 3.0412 3.0412 3.0412 0.0000" Properties=species:S:1:pos:R:3 comment="TiV2Ir PBE optimized geometry" sg=Fm-3m pbc="T T T"
Ti 0.0000 0.0000 0.0000
V 1.5206 1.5206 1.5206
V 4.5617 4.5617 4.5617
Ir 3.0412 3.0412 3.0412

***

C:
4
Lattice="3.6230 0.0000 0.0000 0.0000 3.6230 0.0000 0.0000 0.0000 4.4206" Properties=species:S:1:pos:R:3 comment="TiV2Ir PBE optimized geometry" sg=P4/mmm pbc="T T T"
Ti 0.0000 0.0000 0.0000
V 0.0000 1.8115 2.2103
V 1.8115 0.0000 2.2103
Ir 1.8115 1.8115 0.0000

***

Unit: eV/atom. Relative energies: A 0.548; B 0.000; C 0.080.

***

A:
8
Lattice="-3.5327 3.5327 2.6934 3.5327 -3.5327 2.6934 3.5327 3.5327 -2.6934" Properties=species:S:1:pos:R:3 comment="Ti2IrW PBE optimized geometry" sg=I-42d pbc="T T T"
Ti 1.7663 1.6505 -0.6734
Ti 1.8821 -1.7663 3.3668
Ti 1.7663 1.8821 2.0201
Ti 1.6505 5.2990 0.6734
Ir 0.0000 0.0000 0.0000
Ir 0.0000 3.5327 1.3467
W 3.5327 0.0000 1.3467
W 0.0000 0.0000 2.6934

***

B:
4
Lattice="3.1213 0.0000 0.0000 0.0000 3.1213 0.0000 0.0000 0.0000 6.3423" Properties=species:S:1:pos:R:3 comment="Ti2IrW PBE optimized geometry" sg=P4/mmm pbc="T T T"
Ti 0.0000 0.0000 1.5766
Ti 0.0000 0.0000 4.7657
Ir 1.5607 1.5607 3.1712
W 1.5607 1.5607 0.0000

***

C:
4
Lattice="0.0000 3.1304 3.1304 3.1304 0.0000 3.1304 3.1304 3.1304 0.0000" Properties=species:S:1:pos:R:3 comment="Ti2IrW PBE optimized geometry" sg=Fm-3m pbc="T T T"
Ti 1.5652 1.5652 1.5652
Ti 4.6955 4.6955 4.6955
Ir 0.0000 0.0000 0.0000
W 3.1304 3.1304 3.1304

***

Unit: eV/atom. Relative energies: A 0.689; B 0.000; C 0.010.

***

A:
5
Lattice="4.4885 0.0000 0.0000 0.0000 4.4885 0.0000 0.0000 0.0000 4.4885" Properties=species:S:1:pos:R:3 comment="TiIrW3 PBE optimized geometry" sg=Pm-3m pbc="T T T"
Ti 0.0000 0.0000 0.0000
Ir 2.2442 2.2442 2.2442
W 0.0000 0.0000 2.2442
W 0.0000 2.2442 0.0000
W 2.2442 0.0000 0.0000

***

B:
5
Lattice="4.7365 0.0000 0.0000 0.0000 4.7365 0.0000 0.0000 0.0000 4.7365" Properties=species:S:1:pos:R:3 comment="TiIrW3 PBE optimized geometry" sg=Pm-3m pbc="T T T"
Ti 0.0000 0.0000 0.0000
Ir 2.3682 2.3682 2.3682
W 0.0000 2.3682 2.3682
W 2.3682 0.0000 2.3682
W 2.3682 2.3682 0.0000

***

Unit: eV/atom. Relative energies: A 0.157; B 0.000.